# 1
DFT (PBE) results for a relaxed Ge2AsRuF crystal.

ΔE_f (raw): -0.0222 eV/atom

Lattice parameters (Å, degrees): 4.8961 4.8961 4.0553 90.00 90.00 90.00
Space group P4/mmm (No. 123)
Symmetry-distinct sites (fractional):
1 Ge 0.0000 0.5000 0.0000 x2
2 As 0.0000 0.0000 0.5000 x1
3 Ru 0.5000 0.5000 0.0000 x1
4 F 0.5000 0.5000 0.5000 x1

# 2
DFT (PBE) results for a relaxed GeAs2SF crystal.

ΔE_f (raw): 0.1701 eV/atom

Lattice parameters (Å, degrees): 4.9067 4.9067 4.0120 90.00 90.00 90.00
Space group P4/mmm (No. 123)
Symmetry-distinct sites (fractional):
1 Ge 0.0000 0.0000 0.0000 x1
2 As 0.0000 0.5000 0.5000 x2
3 S 0.5000 0.5000 0.5000 x1
4 F 0.5000 0.5000 0.0000 x1

# 3
DFT (PBE) results for a relaxed GeSbAs2F crystal.

ΔE_f (raw): 0.4883 eV/atom

Lattice parameters (Å, degrees): 4.8607 4.8607 5.4326 90.00 90.00 90.00
Space group P4/mmm (No. 123)
Symmetry-distinct sites (fractional):
1 Ge 0.0000 0.0000 0.0000 x1
2 Sb 0.0000 0.0000 0.5000 x1
3 As 0.0000 0.5000 0.0000 x2
4 F 0.5000 0.5000 0.5000 x1

# 4
DFT (PBE) results for a relaxed Ge2SbAsF crystal.

ΔE_f (raw): 0.4482 eV/atom

Lattice parameters (Å, degrees): 5.0732 5.0732 5.3549 90.00 90.00 90.00
Space group P4/mmm (No. 123)
Symmetry-distinct sites (fractional):
1 Ge 0.0000 0.5000 0.0000 x2
2 Sb 0.0000 0.0000 0.5000 x1
3 As 0.0000 0.0000 0.0000 x1
4 F 0.5000 0.5000 0.5000 x1